[1]
First-principles (PBE-GGA) data for a geometry-optimized Sb2TeOs structure, as listed in the Alexandria database.

Results
For the formation energy (no corrections), the calculation gives 0.845 eV per atom.

Lattice parameters (Å, degrees): 6.239 8.180 3.519 90.00 90.00 90.00
Space group Cmmm (No. 65)
Inequivalent atoms, fractional coordinates:
1 Sb 0.250 0.250 0.000 x4
2 Te 0.000 0.000 0.500 x2
3 Os 0.000 0.500 0.500 x2

[2]
First-principles (PBE-GGA) data for a geometry-optimized RbBrF structure, as listed in the Alexandria database.

Results
For the formation energy (no corrections), the calculation gives -1.324 eV per atom.

Lattice parameters (Å, degrees): 4.6649 4.6649 5.2476 90.00 90.00 120.00
Space group P3m1 (No. 156)
Inequivalent atoms, fractional coordinates:
1 Rb 0.0000 0.0000 0.0000 x1
2 Br 0.3333 0.6667 0.4999 x1
3 F 0.6667 0.3333 0.0055 x1

[3]
First-principles (PBE-GGA) data for a geometry-optimized Ac2PrNi2 structure, as listed in the Alexandria database.

Results
The calculation puts the formation energy at -0.171 eV per atom.

Lattice parameters (Å, degrees): 6.135 4.200 11.311 90.00 91.94 90.00
Space group P2_1/m (No. 11)
Inequivalent atoms, fractional coordinates:
1 Ac 0.130 0.250 0.382 x2
2 Ac 0.248 0.250 0.050 x2
3 Pr 0.361 0.250 0.708 x2
4 Ni 0.246 0.750 0.873 x2
5 Ni 0.396 0.750 0.519 x2

[4]
First-principles (PBE-GGA) data for a geometry-optimized PrY2In6 structure, as listed in the Alexandria database.

Results
The calculation puts the formation energy at -0.338 eV per atom.

Lattice parameters (Å, degrees): 4.627 7.626 14.610 90.00 90.00 90.00
Space group Immm (No. 71)
Inequivalent atoms, fractional coordinates:
1 Pr 0.000 0.000 0.000 x2
2 Y 0.000 0.500 0.121 x4
3 In 0.000 0.191 0.500 x4
4 In 0.000 0.304 0.310 x8

[5]
First-principles (PBE-GGA) data for a geometry-optimized TaHg2P structure, as listed in the Alexandria database.

Results
The calculation puts the formation energy at 0.636 eV per atom.

Lattice parameters (Å, degrees): 6.724 6.724 6.724 90.00 90.00 90.00
Space group F-43m (No. 216)
Inequivalent atoms, fractional coordinates:
1 Ta 0.000 0.000 0.000 x4
2 Hg 0.000 0.000 0.500 x4
3 Hg 0.250 0.250 0.250 x4
4 P 0.250 0.250 0.750 x4

[6]
First-principles (PBE-GGA) data for a geometry-optimized CsY2MgCr structure, as listed in the Alexandria database.

Results
The calculation puts the formation energy at 1.535 eV per atom.

Lattice parameters (Å, degrees): 5.646 5.646 5.099 90.00 90.00 90.00
Space group P4/mmm (No. 123)
Inequivalent atoms, fractional coordinates:
1 Cs 0.000 0.000 0.000 x1
2 Y 0.000 0.500 0.000 x2
3 Mg 0.500 0.500 0.500 x1
4 Cr 0.000 0.000 0.500 x1

[7]
First-principles (PBE-GGA) data for a geometry-optimized Pm6PrTm3 structure, as listed in the Alexandria database.

Results
The calculation puts the formation energy at 0.147 eV per atom.

Lattice parameters (Å, degrees): 10.995 19.236 6.312 90.00 90.00 90.00
Space group Cmc2_1 (No. 36)
Inequivalent atoms, fractional coordinates:
1 Pm 0.000 0.037 0.000 x4
2 Pm 0.000 0.282 0.768 x4
3 Pm 0.168 0.459 0.669 x8
4 Pm 0.235 0.291 0.492 x8
5 Pr 0.000 0.195 0.232 x4
6 Tm 0.000 0.385 0.210 x4
7 Tm 0.173 0.115 0.585 x8

[8]
First-principles (PBE-GGA) data for a geometry-optimized NaSrEuIr structure, as listed in the Alexandria database.

Results
The calculation puts the formation energy at -0.047 eV per atom.

Lattice parameters (Å, degrees): 7.508 7.508 7.508 90.00 90.00 90.00
Space group F-43m (No. 216)
Inequivalent atoms, fractional coordinates:
1 Na 0.000 0.000 0.000 x4
2 Sr 0.250 0.250 0.750 x4
3 Eu 0.250 0.250 0.250 x4
4 Ir 0.000 0.000 0.500 x4